Record 1
Below is an optimized crystal structure of Ca2B4Rh5, with properties calculated at the GGA-PBEsol level.

Computed properties:
Calculated formation energy: -645 meV/atom
Magnetization: 0.00 μB per formula unit
Crystal system: orthorhombic
Density of states at the Fermi level: 17.69 states/eV/cell
E: -320.46 eV per cell

```
data_Ca2B4Rh5
_cell_length_a 5.437
_cell_length_b 9.712
_cell_length_c 11.128
_cell_angle_alpha 90.00
_cell_angle_beta 90.00
_cell_angle_gamma 90.00
_symmetry_space_group_name_H-M 'F m m m'
_symmetry_Int_Tables_number 69
_symmetry_space_group_name_Hall '-F 2 2'
loop_
_atom_site_label
_atom_site_type_symbol
_atom_site_fract_x
_atom_site_fract_y
_atom_site_fract_z
Ca1 Ca 0.000 0.000 0.142
B1 B 0.000 0.160 0.369
Rh1 Rh 0.000 0.000 0.500
Rh2 Rh 0.250 0.250 0.000
Rh3 Rh 0.250 0.250 0.250
```

Record 2
Below is an optimized crystal structure of Ca3B6Rh8, with properties calculated at the GGA-PBEsol level.

Computed properties:
Calculated formation energy: -655 meV/atom
Magnetization: 0.00 μB per formula unit
Crystal system: orthorhombic
Density of states at the Fermi level: 19.58 states/eV/cell
E: -498.94 eV per cell

```
data_Ca3B6Rh8
_cell_length_a 5.467
_cell_length_b 9.661
_cell_length_c 16.903
_cell_angle_alpha 90.00
_cell_angle_beta 90.00
_cell_angle_gamma 90.00
_symmetry_space_group_name_H-M 'F m m m'
_symmetry_Int_Tables_number 69
_symmetry_space_group_name_Hall '-F 2 2'
loop_
_atom_site_label
_atom_site_type_symbol
_atom_site_fract_x
_atom_site_fract_y
_atom_site_fract_z
Ca1 Ca 0.000 0.000 0.000
Ca2 Ca 0.000 0.000 0.182
B1 B 0.000 0.159 0.328
B2 B 0.000 0.167 0.500
Rh1 Rh 0.000 0.000 0.414
Rh2 Rh 0.250 0.250 0.085
Rh3 Rh 0.250 0.250 0.250
```

Record 3
Below is an optimized crystal structure of CaB2Ru, with properties calculated at the GGA-PBEsol level.

Computed properties:
Calculated formation energy: 40 meV/atom
Magnetization: 0.00 μB per formula unit
Crystal system: tetragonal
Density of states at the Fermi level: 4.43 states/eV/cell
E: -104.71 eV per cell

```
data_CaB2Ru
_cell_length_a 4.430
_cell_length_b 4.430
_cell_length_c 13.141
_cell_angle_alpha 90.00
_cell_angle_beta 90.00
_cell_angle_gamma 90.00
_symmetry_space_group_name_H-M 'I 41/a m d'
_symmetry_Int_Tables_number 141
loop_
_symmetry_equiv_pos_as_xyz
'x,y,z'
'-x,-y,-z'
'-y+1/4,x+3/4,z+1/4'
'y+1/4,-x+3/4,-z+1/4'
'-x+1/2,-y,z+1/2'
'x+1/2,y,-z+1/2'
'y+1/4,-x+1/4,z+3/4'
'-y+1/4,x+1/4,-z+3/4'
'x,-y,-z'
'-x,y,z'
'-y+1/4,-x+1/4,-z+3/4'
'y+1/4,x+1/4,z+3/4'
'-x+1/2,y,-z+1/2'
'x+1/2,-y,z+1/2'
'y+1/4,x+3/4,-z+1/4'
'-y+1/4,-x+3/4,z+1/4'
'x+1/2,y+1/2,z+1/2'
'-x+1/2,-y+1/2,-z+1/2'
'-y+3/4,x+1/4,z+3/4'
'y+3/4,-x+1/4,-z+3/4'
'-x,-y+1/2,z'
'x,y+1/2,-z'
'y+3/4,-x+3/4,z+1/4'
'-y+3/4,x+3/4,-z+1/4'
'x+1/2,-y+1/2,-z+1/2'
'-x+1/2,y+1/2,z+1/2'
'-y+3/4,-x+3/4,-z+1/4'
'y+3/4,x+3/4,z+1/4'
'-x,y+1/2,-z'
'x,-y+1/2,z'
'y+3/4,x+1/4,-z+3/4'
'-y+3/4,-x+1/4,z+3/4'
loop_
_atom_site_label
_atom_site_type_symbol
_atom_site_fract_x
_atom_site_fract_y
_atom_site_fract_z
Ca1 Ca 0.000 0.250 0.375
B1 B 0.000 0.000 0.000
Ru1 Ru 0.000 0.250 0.875
```

Record 4
Below is an optimized crystal structure of CaB2S4, with properties calculated at the GGA-PBEsol level.

Computed properties:
Energy relative to the elements, uncorrected: -954 meV per atom
Magnetization: 0.00 μB per formula unit
Crystal system: cubic
Density of states at the Fermi level: 0.00 states/eV/cell
E: -484.54 eV per cell

```
data_CaB2S4
_cell_length_a 11.111
_cell_length_b 11.111
_cell_length_c 11.111
_cell_angle_alpha 90.00
_cell_angle_beta 90.00
_cell_angle_gamma 90.00
_symmetry_space_group_name_H-M 'P a -3'
_symmetry_Int_Tables_number 205
_symmetry_space_group_name_Hall '-P 2ac 2ab 3'
loop_
_atom_site_label
_atom_site_type_symbol
_atom_site_fract_x
_atom_site_fract_y
_atom_site_fract_z
Ca1 Ca 0.000 0.000 0.000
Ca2 Ca 0.127 0.627 0.873
B1 B 0.129 0.194 0.354
S1 S 0.021 0.084 0.276
S2 S 0.127 0.148 0.788
```

Record 5
Below is an optimized crystal structure of CaTc2BSb, with properties calculated at the GGA-PBEsol level.

Computed properties:
Energy relative to the elements, uncorrected: 203 meV per atom
Magnetization: 0.00 μB per formula unit
Crystal system: tetragonal
Density of states at the Fermi level: 4.75 states/eV/cell
E: -35.22 eV per cell

```
data_CaTc2BSb
_cell_length_a 4.202
_cell_length_b 4.202
_cell_length_c 4.597
_cell_angle_alpha 90.00
_cell_angle_beta 90.00
_cell_angle_gamma 90.00
_symmetry_space_group_name_H-M 'P 4/m m m'
_symmetry_Int_Tables_number 123
_symmetry_space_group_name_Hall '-P 4 2'
loop_
_atom_site_label
_atom_site_type_symbol
_atom_site_fract_x
_atom_site_fract_y
_atom_site_fract_z
Ca1 Ca 0.000 0.000 0.000
Tc1 Tc 0.000 0.500 0.500
B1 B 0.000 0.000 0.500
Sb1 Sb 0.500 0.500 0.000
```

Record 6
Below is an optimized crystal structure of CaBSe2, with properties calculated at the GGA-PBEsol level.

Computed properties:
Energy relative to the elements, uncorrected: -426 meV per atom
Magnetization: 0.00 μB per formula unit
Crystal system: tetragonal
Density of states at the Fermi level: 10.02 states/eV/cell
E: -74.21 eV per cell

```
data_CaBSe2
_cell_length_a 6.208
_cell_length_b 6.208
_cell_length_c 8.621
_cell_angle_alpha 90.00
_cell_angle_beta 90.00
_cell_angle_gamma 90.00
_symmetry_space_group_name_H-M 'I -4 2 d'
_symmetry_Int_Tables_number 122
_symmetry_space_group_name_Hall 'I -4 2bw'
loop_
_atom_site_label
_atom_site_type_symbol
_atom_site_fract_x
_atom_site_fract_y
_atom_site_fract_z
Ca1 Ca 0.000 0.000 0.000
B1 B 0.000 0.000 0.500
Se1 Se 0.148 0.250 0.625
```

Record 7
Below is an optimized crystal structure of CaBSe2, with properties calculated at the GGA-PBEsol level.

Computed properties:
Energy relative to the elements, uncorrected: -341 meV per atom
Magnetization: 0.00 μB per formula unit
Crystal system: trigonal
Density of states at the Fermi level: 7.71 states/eV/cell
E: -54.64 eV per cell

```
data_CaBSe2
_cell_length_a 4.3436
_cell_length_b 4.3436
_cell_length_c 20.0566
_cell_angle_alpha 90.00
_cell_angle_beta 90.00
_cell_angle_gamma 120.00
_symmetry_space_group_name_H-M 'R -3 m'
_symmetry_Int_Tables_number 166
_symmetry_space_group_name_Hall '-R 3 2"'
loop_
_atom_site_label
_atom_site_type_symbol
_atom_site_fract_x
_atom_site_fract_y
_atom_site_fract_z
Ca1 Ca 0.0000 0.0000 0.0000
B1 B 0.0000 0.0000 0.5000
Se1 Se 0.0000 0.0000 0.4076
```

Record 8
Below is an optimized crystal structure of CaB3Se, with properties calculated at the GGA-PBEsol level.

Computed properties:
Energy relative to the elements, uncorrected: 2706 meV per atom
Magnetization: 0.46 μB per formula unit
Crystal system: cubic
Density of states at the Fermi level: 3.64 states/eV/cell
E: -13.50 eV per cell

```
data_CaB3Se
_cell_length_a 4.701
_cell_length_b 4.701
_cell_length_c 4.701
_cell_angle_alpha 90.00
_cell_angle_beta 90.00
_cell_angle_gamma 90.00
_symmetry_space_group_name_H-M 'P m -3 m'
_symmetry_Int_Tables_number 221
_symmetry_space_group_name_Hall '-P 4 2 3'
loop_
_atom_site_label
_atom_site_type_symbol
_atom_site_fract_x
_atom_site_fract_y
_atom_site_fract_z
Ca1 Ca 0.000 0.000 0.000
B1 B 0.000 0.000 0.500
Se1 Se 0.500 0.500 0.500
```

Which value of density of states at the Fermi level does entry 8 give? 3.64 states/eV/cell

What did the sixth record say?
Below is an optimized crystal structure of CaBSe2, with properties calculated at the GGA-PBEsol level.

Computed properties:
Energy relative to the elements, uncorrected: -426 meV per atom
Magnetization: 0.00 μB per formula unit
Crystal system: tetragonal
Density of states at the Fermi level: 10.02 states/eV/cell
E: -74.21 eV per cell

```
data_CaBSe2
_cell_length_a 6.208
_cell_length_b 6.208
_cell_length_c 8.621
_cell_angle_alpha 90.00
_cell_angle_beta 90.00
_cell_angle_gamma 90.00
_symmetry_space_group_name_H-M 'I -4 2 d'
_symmetry_Int_Tables_number 122
_symmetry_space_group_name_Hall 'I -4 2bw'
loop_
_atom_site_label
_atom_site_type_symbol
_atom_site_fract_x
_atom_site_fract_y
_atom_site_fract_z
Ca1 Ca 0.000 0.000 0.000
B1 B 0.000 0.000 0.500
Se1 Se 0.148 0.250 0.625
```

Copy entry 8 word for word.
Below is an optimized crystal structure of CaB3Se, with properties calculated at the GGA-PBEsol level.

Computed properties:
Energy relative to the elements, uncorrected: 2706 meV per atom
Magnetization: 0.46 μB per formula unit
Crystal system: cubic
Density of states at the Fermi level: 3.64 states/eV/cell
E: -13.50 eV per cell

```
data_CaB3Se
_cell_length_a 4.701
_cell_length_b 4.701
_cell_length_c 4.701
_cell_angle_alpha 90.00
_cell_angle_beta 90.00
_cell_angle_gamma 90.00
_symmetry_space_group_name_H-M 'P m -3 m'
_symmetry_Int_Tables_number 221
_symmetry_space_group_name_Hall '-P 4 2 3'
loop_
_atom_site_label
_atom_site_type_symbol
_atom_site_fract_x
_atom_site_fract_y
_atom_site_fract_z
Ca1 Ca 0.000 0.000 0.000
B1 B 0.000 0.000 0.500
Se1 Se 0.500 0.500 0.500
```